[1]
An optimized crystal structure of Ba2Cu, computed with GGA-PBE.

a b c (Å): 5.677 5.677 7.618
angles (deg): 90.00 90.00 120.00
Fractional positions:
Ba1 0.667 0.333 0.466
Ba2 0.667 0.333 0.034
Ba3 0.333 0.667 0.966
Ba4 0.333 0.667 0.534
Cu1 0.000 0.000 0.750
Cu2 0.000 0.000 0.250

Values from the calculation:
Total energy = -2.1456 eV per atom
Volume = 35.4 Å³ per atom
E_form = 502 meV per atom
Symmetry = P6_3/mmc, No. 194

=====

[2]
An optimized crystal structure of Cs2RbTlAu, computed with GGA-PBE.

a b c (Å): 7.017 7.017 5.990
angles (deg): 90.00 90.00 90.00
Fractional positions:
Cs1 0.000 0.500 0.000
Cs2 0.500 0.000 0.000
Rb1 0.500 0.500 0.500
Au1 0.000 0.000 0.000
Tl1 0.000 0.000 0.500

Values from the calculation:
Total energy = -1.7341 eV per atom
Energy above the most stable polymorph in this dataset = 0.0 meV per atom
Volume = 59.0 Å³ per atom
E_form = -70 meV per atom
Symmetry = P4/mmm, No. 123

=====

[3]
An optimized crystal structure of KTcI2O, computed with GGA-PBE.

a b c (Å): 6.211 4.360 6.211
angles (deg): 90.00 90.00 90.00
Fractional positions:
K1 0.000 0.000 0.000
Tc1 0.500 0.500 0.500
I1 0.500 0.000 0.000
I2 0.000 0.000 0.500
O1 0.000 0.500 0.000

Values from the calculation:
Total energy = -2.9420 eV per atom
Energy above the most stable polymorph in this dataset = 1694.2 meV per atom
Volume = 33.6 Å³ per atom
Symmetry = P4/mmm, No. 123
ΔE_f (raw) = 0.962 eV/atom

=====

[4]
An optimized crystal structure of ErCuSn2, computed with GGA-PBE.

a b c (Å): 4.388 4.388 9.242
angles (deg): 90.00 90.00 90.00
Fractional positions:
Sn1 0.500 0.000 0.171
Sn2 0.500 0.500 0.500
Sn3 0.000 0.500 0.829
Sn4 0.000 0.000 0.500
Er1 0.000 0.500 0.232
Er2 0.500 0.000 0.768
Cu1 0.000 0.000 0.000
Cu2 0.500 0.500 0.000

Values from the calculation:
Total energy = -4.6074 eV per atom
Volume = 22.2 Å³ per atom
E_form = -441 meV per atom
Symmetry = P4/nmm, No. 129